# 1
A plane-wave DFT calculation with PBE was carried out for GeRuCl3 after structural relaxation.

POSCAR file:
```
GeRuCl3
1.0
4.781 0.000 0.000
0.000 4.781 0.000
0.000 0.000 4.781
Ge Ru Cl
1 1 3
direct
0.000 0.000 0.000
0.500 0.500 0.500
0.000 0.500 0.500
0.500 0.000 0.500
0.500 0.500 0.000
```

Summary:
SG   Pm-3m
Crystal system   cubic
Energy   -3.7259 eV/atom
ΔE to the lowest computed polymorph   0.0 meV/atom
Formation energy (no corrections)   161 meV per atom
Theoretical density   4.26 g cm⁻³

# 2
A plane-wave DFT calculation with PBE was carried out for HfCoSeN2 after structural relaxation.

POSCAR file:
```
HfCoSeN2
1.0
4.053 0.000 0.000
0.000 4.053 0.000
0.000 0.000 5.548
Hf Co Se N
1 1 1 2
direct
0.000 0.000 0.000
0.500 0.500 0.500
0.000 0.000 0.500
0.000 0.500 0.000
0.500 0.000 0.000
```

Summary:
SG   P4/mmm
Crystal system   tetragonal
Energy   -6.8077 eV/atom
ΔE to the lowest computed polymorph   86.6 meV/atom
Formation energy (no corrections)   631 meV per atom
Theoretical density   6.28 g cm⁻³

# 3
A plane-wave DFT calculation with PBE was carried out for La4TmMg2 after structural relaxation.

POSCAR file:
```
La4TmMg2
1.0
2.806 1.620 8.409
-2.806 1.620 8.409
0.000 -3.240 8.409
La Tm Mg
4 1 2
direct
0.078 0.078 0.078
0.345 0.345 0.345
0.655 0.655 0.655
0.922 0.922 0.922
0.500 0.500 0.500
0.210 0.210 0.210
0.790 0.790 0.790
```

Summary:
SG   R-3m
Crystal system   trigonal
Energy   -3.9011 eV/atom
Formation energy from the elements   0.009 eV/atom
Theoretical density   5.60 g cm⁻³

# 4
A plane-wave DFT calculation with PBE was carried out for InHg2C after structural relaxation.

POSCAR file:
```
InHg2C
1.0
6.907 0.000 0.000
0.000 6.907 0.000
0.000 0.000 6.907
In Hg C
4 8 4
direct
0.000 0.000 0.000
0.000 0.500 0.500
0.500 0.000 0.500
0.500 0.500 0.000
0.250 0.250 0.250
0.250 0.250 0.750
0.250 0.750 0.250
0.250 0.750 0.750
0.750 0.250 0.250
0.750 0.250 0.750
0.750 0.750 0.250
0.750 0.750 0.750
0.000 0.000 0.500
0.000 0.500 0.000
0.500 0.000 0.000
0.500 0.500 0.500
```

Summary:
SG   Fm-3m
Crystal system   cubic
Energy   -1.6930 eV/atom
ΔE to the lowest computed polymorph   515.3 meV/atom
Formation energy from the elements   1.448 eV/atom
Theoretical density   10.64 g cm⁻³

# 5
A plane-wave DFT calculation with PBE was carried out for PaCdGa2 after structural relaxation.

POSCAR file:
```
PaCdGa2
1.0
4.538 0.000 0.000
0.000 4.538 0.000
0.000 0.000 4.148
Pa Cd Ga
1 1 2
direct
0.000 0.000 0.000
0.500 0.500 0.000
0.000 0.500 0.500
0.500 0.000 0.500
```

Summary:
SG   P4/mmm
Crystal system   tetragonal
Energy   -4.2945 eV/atom
ΔE to the lowest computed polymorph   0.0 meV/atom
Formation energy from the elements   -0.178 eV/atom
Theoretical density   9.39 g cm⁻³

# 6
A plane-wave DFT calculation with PBE was carried out for Mg4ZrRe after structural relaxation.

POSCAR file:
```
Mg4ZrRe
1.0
0.000 3.832 3.832
3.832 0.000 3.832
3.832 3.832 0.000
Mg Zr Re
4 1 1
direct
0.124 0.124 0.124
0.124 0.124 0.628
0.124 0.628 0.124
0.628 0.124 0.124
0.500 0.500 0.500
0.750 0.750 0.750
```

Summary:
SG   F-43m
Crystal system   cubic
Energy   -4.1869 eV/atom
Formation energy from the elements   0.376 eV/atom
Theoretical density   5.53 g cm⁻³

# 7
A plane-wave DFT calculation with PBE was carried out for NaCd2Hg5 after structural relaxation.

POSCAR file:
```
NaCd2Hg5
1.0
-4.043 4.043 6.288
4.043 -4.043 6.288
4.043 4.043 -6.288
Na Cd Hg
2 4 10
direct
0.250 0.250 0.000
0.750 0.750 0.000
0.144 0.644 0.788
0.356 0.144 0.500
0.644 0.856 0.500
0.856 0.356 0.212
0.000 0.000 0.000
0.012 0.815 0.500
0.185 0.685 0.196
0.315 0.512 0.500
0.488 0.988 0.804
0.500 0.500 0.000
0.512 0.012 0.196
0.685 0.488 0.500
0.815 0.315 0.804
0.988 0.185 0.500
```

Summary:
SG   I4/mcm
Crystal system   tetragonal
Energy   -0.6463 eV/atom
Formation energy from the elements   -0.064 eV/atom
Theoretical density   10.10 g cm⁻³

# 8
A plane-wave DFT calculation with PBE was carried out for KLiBS2 after structural relaxation.

POSCAR file:
```
KLiBS2
1.0
3.249 -6.608 0.000
3.249 6.608 0.000
0.000 0.000 4.902
K Li B S
2 2 2 4
direct
0.250 0.750 0.764
0.750 0.250 0.236
0.250 0.250 0.000
0.750 0.750 0.000
0.000 0.000 0.500
0.500 0.500 0.500
0.101 0.899 0.272
0.399 0.601 0.272
0.601 0.399 0.728
0.899 0.101 0.728
```

Summary:
SG   Cmme
Crystal system   orthorhombic
Energy   -4.1460 eV/atom
Formation energy (no corrections)   -557 meV per atom
Theoretical density   1.91 g cm⁻³

# 9
A plane-wave DFT calculation with PBE was carried out for TbPm2Hf after structural relaxation.

POSCAR file:
```
TbPm2Hf
1.0
4.937 0.000 0.000
0.000 4.937 0.000
0.000 0.000 4.881
Tb Pm Hf
1 2 1
direct
0.000 0.000 0.000
0.000 0.500 0.500
0.500 0.000 0.500
0.500 0.500 0.000
```

Summary:
SG   P4/mmm
Crystal system   tetragonal
Energy   -5.8525 eV/atom
ΔE to the lowest computed polymorph   14.0 meV/atom
Formation energy from the elements   0.169 eV/atom
Theoretical density   8.76 g cm⁻³

# 10
A plane-wave DFT calculation with PBE was carried out for Tb2DyY3Tm6 after structural relaxation.

POSCAR file:
```
Tb2DyY3Tm6
1.0
3.055 -5.285 0.000
3.055 5.285 0.000
-2.032 0.000 11.497
Tb Dy Y Tm
2 1 3 6
direct
0.167 0.833 0.000
0.833 0.167 0.000
0.500 0.500 0.000
0.000 0.000 0.500
0.333 0.667 0.500
0.667 0.333 0.500
0.083 0.417 0.751
0.250 0.250 0.249
0.417 0.083 0.751
0.583 0.917 0.249
0.750 0.750 0.751
0.917 0.583 0.249
```

Summary:
SG   C2/m
Crystal system   monoclinic
Energy   -4.9815 eV/atom
Formation energy from the elements   0.025 eV/atom
Theoretical density   7.87 g cm⁻³

# 11
A plane-wave DFT calculation with PBE was carried out for PmNd4Tm after structural relaxation.

POSCAR file:
```
PmNd4Tm
1.0
-2.925 11.405 3.102
2.925 -11.405 3.102
2.925 11.405 -3.102
Pm Nd Tm
2 8 2
direct
0.000 0.000 0.000
0.500 0.000 0.500
0.096 0.926 0.170
0.148 0.558 0.590
0.256 0.926 0.330
0.468 0.558 0.910
0.532 0.442 0.090
0.744 0.074 0.670
0.852 0.442 0.410
0.904 0.074 0.830
0.329 0.579 0.750
0.671 0.421 0.250
```

Summary:
SG   Imma
Crystal system   orthorhombic
Energy   -4.6551 eV/atom
ΔE to the lowest computed polymorph   43.7 meV/atom
Formation energy from the elements   0.061 eV/atom
Theoretical density   7.15 g cm⁻³

# 12
A plane-wave DFT calculation with PBE was carried out for KMnPdSe3 after structural relaxation.

POSCAR file:
```
KMnPdSe3
1.0
8.254 0.000 0.000
0.000 3.786 0.000
-3.409 0.000 9.134
K Mn Pd Se
2 2 2 6
direct
0.226 0.250 0.271
0.774 0.750 0.729
0.324 0.750 0.844
0.676 0.250 0.156
0.099 0.250 0.592
0.901 0.750 0.408
0.132 0.250 0.866
0.285 0.750 0.582
0.458 0.750 0.123
0.542 0.250 0.877
0.715 0.250 0.418
0.868 0.750 0.134
```

Summary:
SG   P2_1/m
Crystal system   monoclinic
Energy   -4.8929 eV/atom
Formation energy (no corrections)   -574 meV per atom
Theoretical density   5.09 g cm⁻³

# 13
A plane-wave DFT calculation with PBE was carried out for LaMnW2 after structural relaxation.

POSCAR file:
```
LaMnW2
1.0
2.863 0.000 0.000
0.000 4.245 0.000
-1.303 0.000 6.438
La Mn W
1 1 2
direct
0.000 0.000 0.000
0.749 0.500 0.312
0.284 0.500 0.683
0.495 0.000 0.492
```

Summary:
SG   Pm
Crystal system   monoclinic
Energy   -9.4248 eV/atom
ΔE to the lowest computed polymorph   174.3 meV/atom
Formation energy from the elements   0.576 eV/atom
Theoretical density   11.92 g cm⁻³

# 14
A plane-wave DFT calculation with PBE was carried out for CaAu2Se after structural relaxation.

POSCAR file:
```
CaAu2Se
1.0
4.073 0.000 0.000
0.000 3.988 0.000
-0.247 0.000 5.492
Ca Au Se
1 2 1
direct
0.000 0.000 0.000
0.290 0.000 0.509
0.785 0.500 0.492
0.513 0.500 0.001
```

Summary:
SG   Pm
Crystal system   monoclinic
Energy   -3.7377 eV/atom
Formation energy (no corrections)   -727 meV per atom
Theoretical density   9.55 g cm⁻³

# 15
A plane-wave DFT calculation with PBE was carried out for Fe3AgB after structural relaxation.

POSCAR file:
```
Fe3AgB
1.0
4.677 0.000 0.000
0.000 4.677 0.000
0.000 0.000 4.677
Fe Ag B
3 1 1
direct
0.000 0.000 0.500
0.000 0.500 0.000
0.500 0.000 0.000
0.000 0.000 0.000
0.500 0.500 0.500
```

Summary:
SG   Pm-3m
Crystal system   cubic
Energy   -4.6393 eV/atom
ΔE to the lowest computed polymorph   2130.6 meV/atom
Formation energy from the elements   2.344 eV/atom
Theoretical density   4.65 g cm⁻³

# 16
A plane-wave DFT calculation with PBE was carried out for Ac2AlGe4Au3 after structural relaxation.

POSCAR file:
```
Ac2AlGe4Au3
1.0
4.594 0.000 0.000
0.000 4.594 0.000
0.000 0.000 10.612
Ac Al Ge Au
2 1 4 3
direct
0.000 0.500 0.246
0.500 0.000 0.754
0.000 0.000 0.500
0.000 0.000 0.000
0.000 0.500 0.630
0.500 0.000 0.370
0.500 0.500 0.000
0.000 0.500 0.873
0.500 0.000 0.127
0.500 0.500 0.500
```

Summary:
SG   P-4m2
Crystal system   tetragonal
Energy   -4.5988 eV/atom
Formation energy from the elements   -0.573 eV/atom
Theoretical density   10.10 g cm⁻³

# 17
A plane-wave DFT calculation with PBE was carried out for Ce6GaGe3 after structural relaxation.

POSCAR file:
```
Ce6GaGe3
1.0
5.453 3.148 5.345
-5.453 3.148 5.345
0.000 -6.297 5.345
Ce Ga Ge
12 2 6
direct
0.115 0.816 0.703
0.152 0.492 0.409
0.184 0.297 0.885
0.297 0.885 0.184
0.409 0.152 0.492
0.492 0.409 0.152
0.508 0.591 0.848
0.591 0.848 0.508
0.703 0.115 0.816
0.816 0.703 0.115
0.848 0.508 0.591
0.885 0.184 0.297
0.000 0.000 0.000
0.500 0.500 0.500
0.040 0.180 0.608
0.180 0.608 0.040
0.392 0.960 0.820
0.608 0.040 0.180
0.820 0.392 0.960
0.960 0.820 0.392
```

Summary:
SG   R-3
Crystal system   trigonal
Energy   -5.6314 eV/atom
Formation energy from the elements   -0.383 eV/atom
Theoretical density   6.81 g cm⁻³

# 18
A plane-wave DFT calculation with PBE was carried out for Nd3HoP4 after structural relaxation.

POSCAR file:
```
Nd3HoP4
1.0
7.141 0.000 0.000
0.000 8.255 0.000
-2.385 0.000 6.732
Nd Ho P
6 2 8
direct
0.000 0.124 0.250
0.000 0.374 0.750
0.000 0.626 0.250
0.000 0.876 0.750
0.500 0.374 0.250
0.500 0.626 0.750
0.500 0.124 0.750
0.500 0.876 0.250
0.253 0.371 0.504
0.253 0.629 0.004
0.258 0.121 0.000
0.258 0.879 0.500
0.742 0.121 0.500
0.742 0.879 0.000
0.747 0.371 0.996
0.747 0.629 0.496
```

Summary:
SG   P2/c
Crystal system   monoclinic
Energy   -6.6129 eV/atom
Formation energy from the elements   -1.548 eV/atom
Theoretical density   6.04 g cm⁻³

# 19
A plane-wave DFT calculation with PBE was carried out for Ac2PaSn after structural relaxation.

POSCAR file:
```
Ac2PaSn
1.0
5.112 0.000 0.000
0.000 5.112 0.000
0.000 0.000 5.029
Ac Pa Sn
2 1 1
direct
0.000 0.500 0.000
0.500 0.000 0.000
0.000 0.000 0.500
0.500 0.500 0.500
```

Summary:
SG   P4/mmm
Crystal system   tetragonal
Energy   -5.4281 eV/atom
ΔE to the lowest computed polymorph   0.0 meV/atom
Formation energy from the elements   0.001 eV/atom
Theoretical density   10.16 g cm⁻³

# 20
A plane-wave DFT calculation with PBE was carried out for BiBI3 after structural relaxation.

POSCAR file:
```
BiBI3
1.0
6.188 0.000 0.000
0.000 6.188 0.000
0.000 0.000 6.188
Bi B I
1 1 3
direct
0.000 0.000 0.000
0.500 0.500 0.500
0.000 0.000 0.500
0.000 0.500 0.000
0.500 0.000 0.000
```

Summary:
SG   Pm-3m
Crystal system   cubic
Energy   -2.1145 eV/atom
ΔE to the lowest computed polymorph   251.9 meV/atom
Formation energy (no corrections)   927 meV per atom
Theoretical density   4.21 g cm⁻³